First-principles (GGA-PBE) data for an optimized crystal structure of RbPmScCl6, as listed in Alexandria via LeMat-Bulk.

Results
- Formation energy (no corrections): -2.0718 eV/atom
- ρ: 2.64 g/cm³
- Density of states at the Fermi level: 6.24 states/eV/f.u.

Cell and atoms, written as POSCAR:
```
RbPmScCl6
1.0
-6.103 2.796 1.481
0.370 -6.541 -2.080
1.418 -4.449 14.242
Cl Pm Rb Sc
12 2 2 2
Direct
0.018 0.643 0.353
0.982 0.625 0.853
0.982 0.357 0.647
0.625 0.643 0.147
0.018 0.375 0.147
0.625 0.982 0.353
0.643 0.625 0.647
0.357 0.982 0.147
0.643 0.018 0.853
0.357 0.375 0.353
0.375 0.357 0.853
0.375 0.018 0.647
0.667 0.333 0.250
0.333 0.667 0.750
0.000 0.000 0.500
0.000 0.000 0.000
0.333 0.667 0.250
0.667 0.333 0.750
```

First-principles (GGA-PBE) data for an optimized crystal structure of PmSm2N2, as listed in Alexandria via LeMat-Bulk.

Results
- Formation energy (no corrections): -1.1402 eV/atom
- ρ: 7.79 g/cm³
- Density of states at the Fermi level: 3.88 states/eV/f.u.
- Energy above the most stable polymorph in this dataset: 0.002 eV/atom

Cell and atoms, written as POSCAR:
```
PmSm2N2
1.0
-3.418 -0.281 3.781
2.514 -1.210 5.628
1.399 6.013 5.157
Pm Sm N
2 4 4
Direct
0.657 0.781 0.905
0.343 0.219 0.095
0.993 0.281 0.732
0.007 0.719 0.268
0.337 0.754 0.572
0.663 0.246 0.428
0.497 0.754 0.252
0.503 0.246 0.748
0.836 0.747 0.582
0.164 0.253 0.418
```

First-principles (GGA-PBE) data for an optimized crystal structure of Mg3TcNi, as listed in Alexandria via LeMat-Bulk.

Results
- Formation energy from the elements: 1189 meV per atom
- ρ: 3.16 g/cm³
- Density of states at the Fermi level: 5.01 states/eV/f.u.
- Energy above the most stable polymorph in this dataset: 0.494 eV/atom

Cell and atoms, written as POSCAR:
```
Mg3TcNi
1.0
4.941 0.000 0.000
0.000 4.941 0.000
0.000 0.000 4.941
Mg Tc Ni
3 1 1
Direct
0.000 0.500 0.000
0.500 0.000 0.000
0.000 0.000 0.500
0.000 0.000 0.000
0.500 0.500 0.500
```

First-principles (GGA-PBE) data for an optimized crystal structure of Ba5La4, as listed in Alexandria via LeMat-Bulk.

Results
- Formation energy from the elements: 228 meV per atom
- ρ: 4.76 g/cm³
- Density of states at the Fermi level: 18.20 states/eV/f.u.
- Energy above the most stable polymorph in this dataset: 0.100 eV/atom

Cell and atoms, written as POSCAR:
```
Ba5La4
1.0
-3.107 10.912 1.256
-2.197 -7.549 8.276
6.787 1.561 3.226
La Ba
8 10
Direct
0.273 0.273 0.750
0.000 0.000 0.500
0.727 0.727 0.250
0.727 0.000 0.750
0.000 0.727 0.750
0.273 0.000 0.250
0.000 0.000 0.000
0.000 0.273 0.250
0.333 0.667 0.500
0.360 0.360 0.250
0.640 0.640 0.750
0.000 0.360 0.750
0.667 0.333 0.000
0.360 0.000 0.750
0.333 0.667 0.000
0.000 0.640 0.250
0.667 0.333 0.500
0.640 0.000 0.250
```

First-principles (GGA-PBE) data for an optimized crystal structure of Tl2PHSe4, as listed in Alexandria via LeMat-Bulk.

Results
- ρ: 6.75 g/cm³
- Density of states at the Fermi level: 2.77 states/eV/f.u.
- DFT total energy: -3.28 eV/atom

Cell and atoms, written as POSCAR:
```
Tl2PHSe4
1.0
7.924 0.495 0.066
0.489 7.924 0.066
-4.232 -4.235 5.881
Se H Tl P
8 2 4 2
Direct
0.816 0.683 0.962
0.183 0.316 0.462
0.745 0.213 0.979
0.817 0.684 0.538
0.713 0.245 0.479
0.287 0.755 0.521
0.184 0.317 0.038
0.255 0.787 0.021
0.000 0.500 0.000
0.000 0.500 0.500
0.500 0.000 0.500
0.500 0.000 0.000
0.000 0.000 0.500
0.500 0.500 0.000
0.500 0.500 0.500
0.000 0.000 0.000
```

First-principles (GGA-PBE) data for an optimized crystal structure of ZnCu2Au, as listed in Alexandria via LeMat-Bulk.

Results
- Formation energy from the elements: -83 meV per atom
- ρ: 11.44 g/cm³
- Density of states at the Fermi level: 1.23 states/eV/f.u.

Cell and atoms, written as POSCAR:
```
ZnCu2Au
1.0
-2.155 -2.601 -1.135
1.877 -1.939 0.881
-0.580 -2.095 5.900
Au Zn Cu
1 1 2
Direct
0.500 0.750 0.750
0.500 0.250 0.250
0.000 0.980 0.019
0.000 0.520 0.481
```

First-principles (GGA-PBE) data for an optimized crystal structure of CeEuTlCd, as listed in Alexandria via LeMat-Bulk.

Results
- Formation energy from the elements: -271 meV per atom
- ρ: 8.42 g/cm³
- Density of states at the Fermi level: 12.49 states/eV/f.u.

Cell and atoms, written as POSCAR:
```
CeEuTlCd
1.0
-0.098 5.428 1.093
-4.501 2.988 -1.215
-3.212 1.947 4.069
Cd Eu Tl Ce
1 1 1 1
Direct
0.750 0.750 0.750
0.500 0.500 0.500
0.250 0.250 0.250
0.000 0.000 0.000
```

First-principles (GGA-PBE) data for an optimized crystal structure of K8Na, as listed in Alexandria via LeMat-Bulk.

Results
- Formation energy from the elements: 12 meV per atom
- ρ: 0.92 g/cm³
- Density of states at the Fermi level: 6.42 states/eV/f.u.

Cell and atoms, written as POSCAR:
```
K8Na
1.0
5.001 0.000 0.000
2.500 11.019 0.000
2.500 0.000 11.019
K Na
8 1
Direct
0.000 0.667 0.333
0.333 0.667 0.667
0.657 0.000 0.686
0.667 0.333 0.333
0.343 0.000 0.314
0.657 0.686 0.000
0.000 0.333 0.667
0.343 0.314 0.000
0.000 0.000 0.000
```

- What is the formula in the seventh record?
  CeEuTlCd

- The lowest density of states at the Fermi level belongs to which entry?
  ZnCu2Au